# 1
# NdHoPa2As4

A geometry-optimized NdHoPa2As4 structure (PBE, the Alexandria database).

Structure (extended XYZ):
```
8
Lattice="4.134 0.000 0.000 0.000 7.160 -0.142 0.000 2.519 6.704" Properties=species:S:1:pos:R:3 pbc="T T T"
As 4.134 2.374 1.696
Pa 0.000 2.519 6.704
Nd 2.067 6.099 6.633
Pa 2.067 1.260 3.352
As 2.067 6.046 1.589
As 2.067 3.633 4.973
Ho 0.000 4.840 3.281
As 0.000 7.305 4.866
```

* formation energy from the elements: -1.27 eV/atom
* size of the total moment: 0.000 μB per formula unit

***

# 2
# ReP4Rh

A geometry-optimized ReP4Rh structure (PBE, the Alexandria database).

Structure (extended XYZ):
```
6
Lattice="0.859 -3.685 -3.080 -1.187 -4.561 1.261 -3.722 -2.252 -2.209" Properties=species:S:1:pos:R:3 pbc="T T T"
P -2.530 -6.559 -2.516
Re -1.012 -2.624 -1.007
Rh 0.000 0.000 0.000
P -2.959 -4.719 -0.979
P -0.672 -5.435 -1.414
P -1.938 -4.282 -3.146
```

* formation energy from the elements: 0.83 eV/atom
* size of the total moment: 0.001 μB per formula unit

***

# 3
# Pu4ThAu5

A geometry-optimized Pu4ThAu5 structure (PBE, the Alexandria database).

Structure (extended XYZ):
```
10
Lattice="-2.968 -2.534 -0.007 0.812 -0.961 3.694 -9.331 10.912 4.891" Properties=species:S:1:pos:R:3 pbc="T T T"
Pu -2.100 2.456 1.101
Au -7.525 5.792 5.223
Th 0.000 0.000 0.000
Pu -5.727 6.697 3.002
Au -5.743 3.708 4.289
Pu -3.604 4.215 1.889
Au -2.071 -0.586 2.364
Au -9.416 8.003 6.214
Au -3.962 1.625 3.355
Pu -7.231 8.456 3.790
```

* formation energy from the elements: 0.04 eV/atom
* size of the total moment: 10.487 μB per formula unit

***

# 4
# ZrV4Os

A geometry-optimized ZrV4Os structure (PBE, the Alexandria database).

Structure (extended XYZ):
```
6
Lattice="-1.725 -4.715 -0.004 2.361 -3.539 2.665 -2.150 -1.890 4.124" Properties=species:S:1:pos:R:3 pbc="T T T"
V 0.127 -5.394 2.182
Zr 0.000 0.000 0.000
Os -0.378 -2.536 1.696
V -2.123 -4.572 2.910
V -0.086 -3.985 4.241
V -0.946 -6.337 4.239
```

* formation energy from the elements: -0.09 eV/atom
* size of the total moment: 0.000 μB per formula unit

***

# 5
# Mn4Se3S2

A geometry-optimized Mn4Se3S2 structure (PBE, the Alexandria database).

Structure (extended XYZ):
```
9
Lattice="-3.090 1.889 0.779 -2.189 -2.279 5.652 2.516 5.604 5.198" Properties=species:S:1:pos:R:3 pbc="T T T"
Mn -0.905 2.155 8.803
Mn -1.859 3.059 2.826
S -0.685 4.249 4.596
S -2.078 0.965 7.033
Mn 0.335 5.068 6.659
Se -0.985 0.589 3.475
Se 0.000 0.000 0.000
Se -1.779 4.625 8.155
Mn -3.099 0.146 4.971
```

* E_form (uncorrected): -0.45 eV/atom
* size of the total moment: 17.368 μB per formula unit

***

# 6
# BaNaMg6

A geometry-optimized BaNaMg6 structure (PBE, the Alexandria database).

Structure (extended XYZ):
```
8
Lattice="-2.669 5.679 -3.796 -4.035 -5.442 2.811 -0.566 2.749 4.510" Properties=species:S:1:pos:R:3 pbc="T T T"
Ba -3.902 -0.682 3.055
Mg -3.075 2.373 -1.832
Mg -2.037 2.164 1.554
Na -3.848 -3.919 1.906
Mg -3.130 5.605 -0.681
Mg -5.055 2.271 1.110
Mg -1.782 -0.741 0.228
Mg -5.119 -0.623 -0.263
```

* formation energy from the elements: 0.11 eV/atom
* size of the total moment: 0.000 μB per formula unit

***

# 7
# Pm8C3Br3N

A geometry-optimized Pm8C3Br3N structure (PBE, the Alexandria database).

Structure (extended XYZ):
```
15
Lattice="-6.026 -2.575 3.700 6.491 1.069 3.658 -4.286 6.919 -2.165" Properties=species:S:1:pos:R:3 pbc="T T T"
Pm -5.709 0.229 2.328
Pm -1.348 4.650 1.040
Br 0.232 -0.753 3.679
Pm 0.543 2.053 2.308
Br 3.245 0.535 1.829
Pm -1.115 3.901 4.709
C -1.911 2.707 2.596
N -2.143 3.459 -1.082
Pm -2.474 0.763 4.153
Pm 1.887 5.184 2.865
C 1.102 3.994 0.746
Pm -2.706 1.513 0.484
C -5.156 2.172 0.767
Pm -4.364 3.360 2.884
Br 0.000 0.000 0.000
```

* E_form (uncorrected): -0.88 eV/atom
* size of the total moment: 0.520 μB per formula unit

***

# 8
# KCr4Te

A geometry-optimized KCr4Te structure (PBE, the Alexandria database).

Structure (extended XYZ):
```
6
Lattice="0.000 3.664 3.664 3.664 0.000 3.664 3.664 3.664 0.000" Properties=species:S:1:pos:R:3 pbc="T T T"
Cr 2.686 4.643 4.643
Cr 2.686 2.686 2.686
Te 0.000 0.000 0.000
Cr 4.643 4.643 2.686
K 5.497 5.497 5.497
Cr 4.643 2.686 4.643
```

* E_form (uncorrected): 1.12 eV/atom
* size of the total moment: 0.000 μB per formula unit

***

# 9
# Mg2CrTe

A geometry-optimized Mg2CrTe structure (PBE, the Alexandria database).

Structure (extended XYZ):
```
8
Lattice="-5.429 -5.474 2.770 6.076 -5.308 1.418 0.625 -4.325 4.792" Properties=species:S:1:pos:R:3 pbc="T T T"
Te 0.000 0.000 0.000
Cr 0.324 -5.391 2.094
Te -2.240 -7.595 4.829
Mg -2.554 -5.244 3.146
Mg 0.626 -7.212 5.145
Mg 3.352 -5.005 2.392
Mg 1.122 -12.753 7.280
Cr 3.513 -7.512 4.153
```

* E_form (uncorrected): 0.23 eV/atom
* size of the total moment: 4.039 μB per formula unit

***

# 10
# HfBi

A geometry-optimized HfBi structure (PBE, the Alexandria database).

Structure (extended XYZ):
```
2
Lattice="3.638 0.000 0.000 0.000 3.638 0.000 0.000 0.000 3.638" Properties=species:S:1:pos:R:3 pbc="T T T"
Hf 0.000 0.000 0.000
Bi 1.819 1.819 1.819
```

* formation energy from the elements: 0.02 eV/atom
* size of the total moment: 0.000 μB per formula unit

***

# 11
# ZrMnGa3

A geometry-optimized ZrMnGa3 structure (PBE, the Alexandria database).

Structure (extended XYZ):
```
5
Lattice="-3.437 -2.908 -0.709 2.692 -2.531 -2.669 1.309 -2.431 3.627" Properties=species:S:1:pos:R:3 pbc="T T T"
Ga -1.719 -1.454 -0.354
Mn 0.000 0.000 0.000
Ga 1.346 -1.266 -1.334
Ga 0.655 -1.216 1.813
Zr 0.282 -3.935 0.125
```

* formation energy from the elements: 0.11 eV/atom
* size of the total moment: 0.000 μB per formula unit

***

# 12
# Tl2Hg2Br5

A geometry-optimized Tl2Hg2Br5 structure (PBE, the Alexandria database).

Structure (extended XYZ):
```
9
Lattice="5.702 0.000 0.000 -2.851 7.621 -1.371 0.000 -2.416 7.970" Properties=species:S:1:pos:R:3 pbc="T T T"
Hg 0.000 -0.074 6.395
Br 0.000 0.000 0.000
Br 2.851 4.211 2.768
Br 0.000 5.207 -0.115
Tl 2.851 1.033 1.997
Hg 2.851 5.279 0.205
Tl 0.000 4.173 4.603
Br 2.851 -0.002 6.715
Br 0.000 0.994 3.832
```

* E_form (uncorrected): -0.56 eV/atom
* size of the total moment: 0.000 μB per formula unit

***

# 13
# Ce2Pr3Te6

A geometry-optimized Ce2Pr3Te6 structure (PBE, the Alexandria database).

Structure (extended XYZ):
```
11
Lattice="-2.556 -6.850 2.659 -1.697 -5.722 -4.990 6.065 -4.717 1.312" Properties=species:S:1:pos:R:3 pbc="T T T"
Pr -1.418 -4.195 -0.788
Te 3.706 -6.006 -0.406
Te 0.911 -2.963 1.017
Ce 0.338 -9.968 1.224
Te -1.894 -11.283 -0.612
Te 2.282 -10.228 -1.272
Ce 1.474 -7.320 -2.242
Pr -2.835 -8.377 -1.543
Te 2.598 -8.604 2.955
Te -0.470 -7.060 0.254
Pr 0.000 0.000 0.000
```

* E_form (uncorrected): -1.44 eV/atom
* size of the total moment: 2.408 μB per formula unit

***

# 14
# YAl2Au4

A geometry-optimized YAl2Au4 structure (PBE, the Alexandria database).

Structure (extended XYZ):
```
28
Lattice="4.490 0.000 0.000 0.000 6.839 0.000 0.000 0.000 17.457" Properties=species:S:1:pos:R:3 pbc="T T T"
Au 1.123 3.274 7.485
Au 3.368 4.347 16.871
Au 3.368 1.229 14.239
Au 3.368 2.191 5.510
Y 3.368 6.692 11.195
Al 1.123 3.668 4.948
Y 3.368 3.566 2.466
Au 1.123 4.648 11.947
Au 1.123 1.760 12.085
Au 1.123 2.492 0.586
Al 1.123 5.180 0.640
Au 3.368 5.079 5.373
Au 3.368 5.911 8.143
Al 1.123 5.078 9.369
Au 3.368 5.179 14.101
Y 1.123 0.147 6.262
Au 1.123 0.927 9.315
Au 3.368 3.565 9.972
Y 1.123 3.272 14.991
Au 1.123 0.145 16.213
Al 3.368 3.171 12.509
Au 3.368 6.693 1.244
Al 3.368 1.659 16.817
Al 3.368 0.248 3.781
Al 1.123 6.590 13.677
Al 3.368 1.761 8.088
Au 1.123 5.610 3.219
Au 1.123 1.660 3.356
```

* formation energy from the elements: -0.60 eV/atom
* size of the total moment: 0.000 μB per formula unit

***

# 15
# Sm5Si2Bi

A geometry-optimized Sm5Si2Bi structure (PBE, the Alexandria database).

Structure (extended XYZ):
```
16
Lattice="7.957 0.000 0.000 0.000 7.957 0.000 -3.978 -3.978 7.058" Properties=species:S:1:pos:R:3 pbc="T T T"
Si 2.876 6.854 0.000
Sm 5.256 6.680 1.942
Sm 2.701 1.277 1.942
Sm 0.000 0.000 0.000
Bi 3.978 3.978 3.529
Bi 0.000 0.000 3.529
Sm -1.277 -2.701 5.116
Si 5.081 1.102 0.000
Sm 2.701 -1.277 5.116
Si 6.854 5.081 0.000
Sm 6.680 2.701 1.942
Sm -2.701 1.277 5.116
Si 1.102 2.876 0.000
Sm 1.277 5.256 1.942
Sm 3.978 3.978 0.000
Sm 1.277 2.701 5.116
```

* E_form (uncorrected): -0.66 eV/atom
* size of the total moment: 2.287 μB per formula unit

***

# 16
# Rb2CaHg2

A geometry-optimized Rb2CaHg2 structure (PBE, the Alexandria database).

Structure (extended XYZ):
```
10
Lattice="-1.527 9.173 -4.683 -3.183 -4.923 -8.605 -3.721 0.064 1.339" Properties=species:S:1:pos:R:3 pbc="T T T"
Rb -3.325 -0.897 -9.193
Rb -3.337 4.852 -9.503
Hg -4.185 6.028 -6.076
Ca 0.000 0.000 0.000
Ca -2.355 2.125 -6.644
Rb -1.373 -0.601 -3.785
Hg -5.527 2.073 -9.616
Hg -4.246 -1.712 -5.873
Hg -2.903 2.243 -2.333
Rb -1.385 5.148 -4.095
```

* excess energy over the best structure of this formula in the dataset: 175 meV per atom
* formation energy from the elements: 0.01 eV/atom
* size of the total moment: 0.000 μB per formula unit

***

# 17
# CuH4I

A geometry-optimized CuH4I structure (PBE, the Alexandria database).

Structure (extended XYZ):
```
12
Lattice="3.818 6.635 2.578 3.520 12.726 4.597 1.040 3.713 10.186" Properties=species:S:1:pos:R:3 pbc="T T T"
H 2.084 7.170 5.389
I 4.394 10.492 6.754
H 7.494 21.230 16.090
H 3.926 9.217 11.729
H 6.294 15.905 11.972
Cu 2.345 6.663 6.987
H 4.452 13.858 5.632
Cu 6.033 16.411 10.374
H 5.487 15.872 11.887
I 3.985 12.582 10.607
H 0.884 1.844 1.271
H 2.891 7.202 5.473
```

* size of the total moment: 0.000 μB per formula unit
* DFT total energy: -3.1966 eV per atom

***

# 18
# Ce2Zn5Au4

A geometry-optimized Ce2Zn5Au4 structure (PBE, the Alexandria database).

Structure (extended XYZ):
```
11
Lattice="-2.816 4.021 -2.534 -0.074 0.327 -5.420 -8.380 -3.002 -1.474" Properties=species:S:1:pos:R:3 pbc="T T T"
Au -7.545 -0.215 -4.001
Au -3.724 1.561 -5.428
Zn -0.037 0.163 -2.710
Zn -4.931 -0.333 -4.081
Ce -6.586 -1.713 -1.421
Zn -1.445 2.174 -3.977
Au -8.463 1.176 -6.794
Zn -1.408 2.010 -1.267
Au -2.807 0.169 -2.635
Ce -4.609 2.731 -2.587
Zn -6.339 1.678 -5.348
```

* formation energy from the elements: -0.44 eV/atom
* size of the total moment: 1.979 μB per formula unit

***

# 19
# NaTbSiS4

A geometry-optimized NaTbSiS4 structure (PBE, the Alexandria database).

Structure (extended XYZ):
```
14
Lattice="-1.598 -3.724 -4.967 -3.155 -4.085 4.077 -5.924 5.295 0.722" Properties=species:S:1:pos:R:3 pbc="T T T"
Tb -4.430 1.077 0.304
Si -6.071 -0.235 -2.281
Tb -6.247 -3.591 -0.473
Si -4.606 -2.278 2.112
Na -9.107 -0.879 0.030
S -3.199 -0.663 2.171
Na -1.569 -1.634 -0.199
S -5.903 0.189 -4.374
S -6.472 -1.546 1.402
S -6.737 1.403 -1.154
S -7.478 -1.850 -2.339
S -4.773 -2.702 4.206
S -4.204 -0.968 -1.570
S -3.940 -3.917 0.986
```

* E_form (uncorrected): -1.34 eV/atom
* size of the total moment: 0.000 μB per formula unit

***

# 20
# YInAs2P

A geometry-optimized YInAs2P structure (PBE, the Alexandria database).

Structure (extended XYZ):
```
5
Lattice="-0.871 3.479 3.332 -0.843 -3.693 3.635 4.752 0.068 1.171" Properties=species:S:1:pos:R:3 pbc="T T T"
P 0.000 0.000 0.000
Y -0.421 -1.846 1.818
In 1.520 -0.073 4.069
As 2.376 0.034 0.585
As -0.435 1.739 1.666
```

* formation energy from the elements: 0.02 eV/atom
* size of the total moment: 0.000 μB per formula unit